(1)
! KYTa2Se PBE relaxed; values from VASP
&SYSTEM
  ibrav = 0, nat = 5, ntyp = 4
/
ATOMIC_SPECIES
K 39.10 K.upf
Y 88.91 Y.upf
Ta 180.95 Ta.upf
Se 78.96 Se.upf
CELL_PARAMETERS angstrom
4.632 0.000 0.000
0.000 4.632 0.000
0.000 0.000 5.617
ATOMIC_POSITIONS crystal
K 0.000 0.000 0.000
Y 0.000 0.000 0.500
Ta 0.000 0.500 0.000
Ta 0.500 0.000 0.000
Se 0.500 0.500 0.500
! Uncorrected formation energy, eV/atom: 2.372
! Fermi-level density of states, states/eV/f.u.: 5.949
! Crystal system: tetragonal
! E, eV per cell: -22.9
! Symmetry: P4/mmm, No. 123

***

(2)
! K2TaZnSe5 PBE relaxed; values from VASP
&SYSTEM
  ibrav = 0, nat = 18, ntyp = 4
/
ATOMIC_SPECIES
K 39.10 K.upf
Ta 180.95 Ta.upf
Zn 65.41 Zn.upf
Se 78.96 Se.upf
CELL_PARAMETERS angstrom
1.840 -10.324 0.000
1.840 10.324 0.000
0.000 0.000 13.928
ATOMIC_POSITIONS crystal
K 0.120 0.880 0.500
K 0.126 0.874 0.111
K 0.874 0.126 0.611
K 0.880 0.120 0.000
Ta 0.228 0.772 0.825
Ta 0.772 0.228 0.325
Zn 0.427 0.573 0.253
Zn 0.573 0.427 0.753
Se 0.092 0.908 0.864
Se 0.279 0.721 0.456
Se 0.298 0.702 0.196
Se 0.344 0.656 0.808
Se 0.489 0.511 0.111
Se 0.511 0.489 0.611
Se 0.656 0.344 0.308
Se 0.702 0.298 0.696
Se 0.721 0.279 0.956
Se 0.908 0.092 0.364
! Uncorrected formation energy, eV/atom: -0.798
! Fermi-level density of states, states/eV/f.u.: 3.184
! Crystal system: orthorhombic
! E, eV per cell: -79.9
! Symmetry: Cmc2_1, No. 36

***

(3)
! KTbSe PBE relaxed; values from VASP
&SYSTEM
  ibrav = 0, nat = 12, ntyp = 3
/
ATOMIC_SPECIES
K 39.10 K.upf
Tb 158.93 Tb.upf
Se 78.96 Se.upf
CELL_PARAMETERS angstrom
7.441 0.000 0.000
0.000 4.291 0.000
-1.722 0.000 23.989
ATOMIC_POSITIONS crystal
K 0.000 0.000 0.000
K 0.205 0.500 0.178
K 0.500 0.500 0.000
K 0.705 0.000 0.178
Tb 0.073 0.000 0.324
Tb 0.134 0.500 0.854
Tb 0.573 0.500 0.324
Tb 0.634 0.000 0.854
Se 0.252 0.500 0.373
Se 0.455 0.500 0.805
Se 0.752 0.000 0.373
Se 0.955 0.000 0.805
! Uncorrected formation energy, eV/atom: -0.705
! Fermi-level density of states, states/eV/f.u.: 1.893
! Crystal system: monoclinic
! E, eV per cell: -45.3
! Symmetry: Cm, No. 8

***

(4)
! KTbSe2 PBE relaxed; values from VASP
&SYSTEM
  ibrav = 0, nat = 12, ntyp = 3
/
ATOMIC_SPECIES
K 39.10 K.upf
Tb 158.93 Tb.upf
Se 78.96 Se.upf
CELL_PARAMETERS angstrom
4.209 0.000 0.000
-2.104 3.645 0.000
0.000 0.000 23.514
ATOMIC_POSITIONS crystal
K 0.000 0.000 0.000
K 0.333 0.667 0.667
K 0.667 0.333 0.333
Tb 0.000 0.000 0.831
Tb 0.333 0.667 0.497
Tb 0.667 0.333 0.164
Se 0.000 0.000 0.232
Se 0.000 0.000 0.429
Se 0.333 0.667 0.096
Se 0.333 0.667 0.899
Se 0.667 0.333 0.565
Se 0.667 0.333 0.763
! Uncorrected formation energy, eV/atom: -1.745
! Fermi-level density of states, states/eV/f.u.: 0.000
! Crystal system: trigonal
! E, eV per cell: -59.0
! Symmetry: R3m, No. 160

***

(5)
! KTb3Se4 PBE relaxed; values from VASP
&SYSTEM
  ibrav = 0, nat = 16, ntyp = 3
/
ATOMIC_SPECIES
K 39.10 K.upf
Tb 158.93 Tb.upf
Se 78.96 Se.upf
CELL_PARAMETERS angstrom
4.158 0.000 0.000
-2.079 3.601 0.000
0.000 0.000 28.720
ATOMIC_POSITIONS crystal
K 0.333 0.667 0.250
K 0.667 0.333 0.750
Tb 0.000 0.000 0.000
Tb 0.000 0.000 0.500
Tb 0.333 0.667 0.615
Tb 0.333 0.667 0.885
Tb 0.667 0.333 0.115
Tb 0.667 0.333 0.385
Se 0.000 0.000 0.171
Se 0.000 0.000 0.329
Se 0.000 0.000 0.671
Se 0.000 0.000 0.829
Se 0.333 0.667 0.058
Se 0.333 0.667 0.442
Se 0.667 0.333 0.558
Se 0.667 0.333 0.942
! Uncorrected formation energy, eV/atom: -1.764
! Fermi-level density of states, states/eV/f.u.: 3.242
! Crystal system: hexagonal
! E, eV per cell: -86.1
! Symmetry: P6_3/mmc, No. 194

***

(6)
! KTb4Se6 PBE relaxed; values from VASP
&SYSTEM
  ibrav = 0, nat = 22, ntyp = 3
/
ATOMIC_SPECIES
K 39.10 K.upf
Tb 158.93 Tb.upf
Se 78.96 Se.upf
CELL_PARAMETERS angstrom
2.070 -6.877 0.000
2.070 6.877 0.000
0.000 0.000 21.799
ATOMIC_POSITIONS crystal
K 0.155 0.845 0.750
K 0.845 0.155 0.250
Tb 0.097 0.903 0.133
Tb 0.097 0.903 0.367
Tb 0.368 0.632 0.041
Tb 0.368 0.632 0.459
Tb 0.632 0.368 0.541
Tb 0.632 0.368 0.959
Tb 0.903 0.097 0.633
Tb 0.903 0.097 0.867
Se 0.000 0.000 0.000
Se 0.000 0.000 0.500
Se 0.164 0.836 0.250
Se 0.272 0.728 0.580
Se 0.272 0.728 0.920
Se 0.462 0.538 0.155
Se 0.462 0.538 0.345
Se 0.538 0.462 0.655
Se 0.538 0.462 0.845
Se 0.728 0.272 0.080
Se 0.728 0.272 0.420
Se 0.836 0.164 0.750
! Uncorrected formation energy, eV/atom: -1.787
! Fermi-level density of states, states/eV/f.u.: 2.408
! Crystal system: orthorhombic
! E, eV per cell: -120.4
! Symmetry: Cmcm, No. 63

***

(7)
! K2TbTeSe4 PBE relaxed; values from VASP
&SYSTEM
  ibrav = 0, nat = 16, ntyp = 4
/
ATOMIC_SPECIES
K 39.10 K.upf
Tb 158.93 Tb.upf
Te 127.60 Te.upf
Se 78.96 Se.upf
CELL_PARAMETERS angstrom
6.108 -6.109 0.000
6.108 6.109 0.000
-5.510 0.000 6.570
ATOMIC_POSITIONS crystal
K 0.000 0.000 0.000
K 0.000 0.000 0.500
K 0.000 0.500 0.000
K 0.500 0.000 0.500
Tb 0.500 0.500 0.000
Tb 0.500 0.500 0.500
Te 0.000 0.500 0.500
Te 0.500 0.000 0.000
Se 0.237 0.709 0.490
Se 0.269 0.303 0.551
Se 0.291 0.763 0.010
Se 0.303 0.269 0.051
Se 0.697 0.731 0.949
Se 0.709 0.237 0.990
Se 0.731 0.697 0.449
Se 0.763 0.291 0.510
! Uncorrected formation energy, eV/atom: -1.072
! Fermi-level density of states, states/eV/f.u.: 1.457
! Crystal system: monoclinic
! E, eV per cell: -65.0
! Symmetry: C2/c, No. 15

***

(8)
! K3Tb3ThSe8 PBE relaxed; values from VASP
&SYSTEM
  ibrav = 0, nat = 15, ntyp = 4
/
ATOMIC_SPECIES
K 39.10 K.upf
Tb 158.93 Tb.upf
Th 232.04 Th.upf
Se 78.96 Se.upf
CELL_PARAMETERS angstrom
4.227 2.440 7.802
-4.227 2.440 7.802
0.000 -4.880 7.802
ATOMIC_POSITIONS crystal
K 0.000 0.500 0.500
K 0.500 0.000 0.500
K 0.500 0.500 0.000
Tb 0.000 0.000 0.500
Tb 0.000 0.500 0.000
Tb 0.500 0.000 0.000
Th 0.500 0.500 0.500
Se 0.232 0.736 0.736
Se 0.235 0.235 0.235
Se 0.264 0.264 0.768
Se 0.264 0.768 0.264
Se 0.736 0.232 0.736
Se 0.736 0.736 0.232
Se 0.765 0.765 0.765
Se 0.768 0.264 0.264
! Uncorrected formation energy, eV/atom: -1.764
! Fermi-level density of states, states/eV/f.u.: 0.000
! Crystal system: trigonal
! E, eV per cell: -78.9
! Symmetry: R-3m, No. 166